A relaxed Mg14MnNiO16 crystal, computed with GGA+U.

```
data_Mg14MnNiO16
_symmetry_space_group_name_H-M 'P m m m'
_symmetry_Int_Tables_number 47
_symmetry_space_group_name_Hall '-P 2 2'
_cell_length_a 4.2725
_cell_length_b 8.5416
_cell_length_c 8.5417
_cell_angle_alpha 90.00
_cell_angle_beta 90.00
_cell_angle_gamma 90.00
loop_
_atom_site_label
_atom_site_type_symbol
_atom_site_fract_x
_atom_site_fract_y
_atom_site_fract_z
Mg1 Mg 0.0000 0.0000 0.0000
Mg2 Mg 0.0000 0.0000 0.5000
Mg3 Mg 0.0000 0.2495 0.2484
Mg4 Mg 0.5000 0.0000 0.2497
Mg5 Mg 0.5000 0.2481 0.5000
Mg6 Mg 0.5000 0.2510 0.0000
Mg7 Mg 0.5000 0.5000 0.2468
Mn1 Mn 0.0000 0.5000 0.5000
Ni1 Ni 0.0000 0.5000 0.0000
O1 O 0.0000 0.0000 0.2487
O2 O 0.0000 0.2428 0.5000
O3 O 0.0000 0.2481 0.0000
O4 O 0.0000 0.5000 0.2432
O5 O 0.5000 0.0000 0.0000
O6 O 0.5000 0.0000 0.5000
O7 O 0.5000 0.2507 0.2501
O8 O 0.5000 0.5000 0.0000
O9 O 0.5000 0.5000 0.5000
```

E_tot = -6.024 eV per atom
N(E_F) = 0.00 states/eV per cell